(1)
GeAsPdO | PBE-GGA | optimized geometry Values from VASP.

The structure in Quantum ESPRESSO input format:
```
&SYSTEM
  ibrav = 0, nat = 8, ntyp = 4
/
ATOMIC_SPECIES
As 74.92 As.upf
Ge 72.64 Ge.upf
O 16.00 O.upf
Pd 106.42 Pd.upf
ATOMIC_POSITIONS angstrom
As 0.000 5.404 2.258
As 0.000 1.214 5.632
Ge 0.000 5.494 6.471
Ge 0.000 1.123 3.097
O 1.577 2.107 2.704
O 1.577 4.511 6.078
Pd 1.577 2.137 0.405
Pd 1.577 4.480 3.779
CELL_PARAMETERS angstrom
3.154 0.000 0.000
0.000 6.617 0.000
0.000 0.000 6.749
```

ΔE to the lowest computed polymorph ... 0.127 eV/atom
Space group ... Pmc2_1, No. 26



(2)
LaZrBeIr | PBE-GGA | optimized geometry Values from VASP.

The structure in Quantum ESPRESSO input format:
```
&SYSTEM
  ibrav = 0, nat = 4, ntyp = 4
/
ATOMIC_SPECIES
Zr 91.22 Zr.upf
Be 9.01 Be.upf
La 138.91 La.upf
Ir 192.22 Ir.upf
ATOMIC_POSITIONS angstrom
Zr 0.000 0.000 0.000
Be -4.988 -5.835 -3.908
La -1.663 -1.945 -1.303
Ir -3.326 -3.890 -2.606
CELL_PARAMETERS angstrom
-0.022 -4.044 -2.373
-3.512 -3.049 0.596
-3.117 -0.686 -3.435
```

ΔE to the lowest computed polymorph ... 0.146 eV/atom
Space group ... F-43m, No. 216
Size of the total moment ... 0.000 Bohr magnetons per cell



(3)
BaGdZnS3 | PBE-GGA | optimized geometry Values from VASP.

The structure in Quantum ESPRESSO input format:
```
&SYSTEM
  ibrav = 0, nat = 12, ntyp = 4
/
ATOMIC_SPECIES
S 32.06 S.upf
Ba 137.33 Ba.upf
Zn 65.41 Zn.upf
Gd 157.25 Gd.upf
ATOMIC_POSITIONS angstrom
S 2.057 -1.824 5.949
S 2.057 5.978 2.607
S 2.057 -1.824 9.694
S 2.057 1.824 0.735
S 2.057 1.824 4.480
S 2.057 -5.978 7.822
Ba 2.057 3.399 7.822
Ba 2.057 -3.399 2.607
Zn 2.057 0.371 2.607
Zn 2.057 -0.371 7.822
Gd 0.000 0.000 5.214
Gd 0.000 0.000 0.000
CELL_PARAMETERS angstrom
2.057 -6.882 0.000
2.057 6.882 0.000
0.000 0.000 10.429
```

Space group ... Cmcm, No. 63
Size of the total moment ... 0.137 Bohr magnetons per cell



(4)
Er5Tl4Au | PBE-GGA | optimized geometry Values from VASP.

The structure in Quantum ESPRESSO input format:
```
&SYSTEM
  ibrav = 0, nat = 10, ntyp = 3
/
ATOMIC_SPECIES
Tl 204.38 Tl.upf
Er 167.26 Er.upf
Au 196.97 Au.upf
ATOMIC_POSITIONS angstrom
Tl 0.000 0.000 16.248
Tl 0.000 0.000 7.969
Tl 0.000 0.000 12.114
Tl 0.000 0.000 3.835
Er 1.790 1.790 10.041
Er 1.790 1.790 18.352
Er 1.790 1.790 1.731
Er 1.790 1.790 14.192
Er 1.790 1.790 5.891
Au 0.000 0.000 0.000
CELL_PARAMETERS angstrom
3.580 0.000 0.000
0.000 3.580 0.000
0.000 0.000 20.083
```

Space group ... P4/mmm, No. 123
Size of the total moment ... 0.032 Bohr magnetons per cell



Number 1: calculated total energy -20.928 eV/f.u.. Number 2: calculated total energy -26.007 eV/f.u.. Number 3: calculated total energy -29.436 eV/f.u.. Number 4: calculated total energy -39.796 eV/f.u..